Record 1
# LaTeBr

An optimized crystal structure of LaTeBr (PBE-GGA, the Alexandria database).

For the energy, the calculation gives -28.53 eV per cell. For the total moment, the calculation gives 0.00 μB/cell.

The structure belongs to space group I4mm (No. 107); the cell edges are 3.9269, 3.9269 and 13.6794 Å and the angles 90.00°, 90.00° and 90.00°. The distinct sites, in fractional coordinates, are La at (0.0000, 0.0000, 0.0000), Te at (0.0000, 0.0000, 0.6239) and Br at (0.0000, 0.0000, 0.3633).

Record 2
# La4Te3Br

An optimized crystal structure of La4Te3Br (PBE-GGA, the Alexandria database).

For the energy, the calculation gives -128.64 eV per cell. For the total moment, the calculation gives 0.00 μB/cell.

The structure belongs to space group R-3m (No. 166, hexagonal axes); the cell edges are 4.5650, 4.5650 and 43.3524 Å and the angles 90.00°, 90.00° and 120.00°. The distinct sites, in fractional coordinates, are La at (0.0000, 0.0000, 0.1236), La at (0.0000, 0.0000, 0.3715), Te at (0.0000, 0.0000, 0.2530), Te at (0.0000, 0.0000, 0.5000) and Br at (0.0000, 0.0000, 0.0000).

Record 3
# LaTeBr2

An optimized crystal structure of LaTeBr2 (PBE-GGA, the Alexandria database).

For the energy, the calculation gives -63.46 eV per cell. For the total moment, the calculation gives 0.00 μB/cell.

The structure belongs to space group Fmmm (No. 69); the cell edges are 6.8803, 6.9516 and 10.6930 Å and the angles 90.00°, 90.00° and 90.00°. The distinct sites, in fractional coordinates, are La at (0.0000, 0.0000, 0.0000), Te at (0.0000, 0.0000, 0.5000) and Br at (0.2500, 0.0000, 0.2500).

Record 4
# LaTe2Br

An optimized crystal structure of LaTe2Br (PBE-GGA, the Alexandria database).

For the energy, the calculation gives -32.60 eV per cell. For the total moment, the calculation gives 0.00 μB/cell.

The structure belongs to space group I-4m2 (No. 119); the cell edges are 4.9376, 4.9376 and 9.7644 Å and the angles 90.00°, 90.00° and 90.00°. The distinct sites, in fractional coordinates, are La at (0.0000, 0.0000, 0.0000), Te at (0.0000, 0.0000, 0.5000), Te at (0.0000, 0.5000, 0.7500) and Br at (0.0000, 0.5000, 0.2500).